# 1
Computed, not measured: a relaxed CaSn2Bi crystal at the PBE level of DFT. Values from VASP.

Calculated values
The space-group type is P4/mmm. The total magnetization comes out at 0.000 Bohr magnetons per cell. Its energy relative to the elements is -0.2571 eV/atom.

Cell and atoms, written as Quantum ESPRESSO input:
```
&SYSTEM
  ibrav = 0, nat = 4, ntyp = 3
/
ATOMIC_SPECIES
Sn 118.71 Sn.upf
Ca 40.08 Ca.upf
Bi 208.98 Bi.upf
CELL_PARAMETERS angstrom
4.2254 0.0000 0.0000
0.0000 4.2254 0.0000
0.0000 0.0000 6.6565
ATOMIC_POSITIONS crystal
Sn 0.0000 0.0000 0.7321
Sn 0.0000 0.0000 0.2679
Ca 0.5000 0.5000 0.0000
Bi 0.5000 0.5000 0.5000
```

=====

# 2
Computed, not measured: a relaxed La8TeAs3Se4 crystal at the PBE level of DFT. Values from VASP.

Calculated values
The space-group type is R-3m. The total magnetization comes out at 0.000 Bohr magnetons per cell. As for the formation energy (no corrections): -1.820 eV per atom.

Cell and atoms, written as Quantum ESPRESSO input:
```
&SYSTEM
  ibrav = 0, nat = 16, ntyp = 4
/
ATOMIC_SPECIES
La 138.91 La.upf
Se 78.96 Se.upf
As 74.92 As.upf
Te 127.60 Te.upf
CELL_PARAMETERS angstrom
-6.4796 -3.5759 -4.6932
1.1281 -7.5669 4.2081
-1.4155 7.3757 4.5165
ATOMIC_POSITIONS crystal
La 0.7366 0.7501 0.9933
La 0.2567 0.7501 0.9933
La 0.7433 0.2500 0.4865
La 0.7471 0.7412 0.4941
La 0.2634 0.2499 0.0067
La 0.2567 0.7500 0.5135
La 0.2529 0.2588 0.5059
La 0.7433 0.2499 0.0067
Se 0.5000 0.0000 0.5000
Se 0.0000 0.0000 0.5000
Se 0.0000 0.0000 0.0000
Se 0.5000 0.0000 0.0000
As 0.0000 0.5000 0.5000
As 0.5000 0.5000 0.0000
As 0.5000 0.5000 0.5000
Te 0.0000 0.5000 0.0000
```

=====

> What is the formula in the second record?

La8TeAs3Se4